1.
The following is a PBE-GGA calculation of a relaxed NiGeMo crystal, from Alexandria.

The value obtained for the energy of formation from the pure elements is 0.39 eV per formula unit. The value obtained for the total energy is -20.8 eV per formula unit. Its calculated density is 8.43 g cm⁻³. The space group is R-3m, No. 166.

abc: 3.935 3.935 7.052
angles: 73.80 73.80 60.00
Element x y z (fractional)
Ge  0.568  0.568  0.296
Ge  0.432  0.432  0.704
Mo  0.298  0.298  0.107
Mo  0.702  0.702  0.893
Ni  0.861  0.861  0.417
Ni  0.139  0.139  0.583

=====

2.
The following is a PBE-GGA calculation of a relaxed Ni2GeMo crystal, from Alexandria.

The value obtained for the energy of formation from the pure elements is -0.29 eV per formula unit. The value obtained for the total energy is -27.3 eV per formula unit. Its calculated density is 9.00 g cm⁻³. The space group is P2/m, No. 10.

abc: 3.937 2.711 5.080
angles: 103.35 90.00 90.00
Element x y z (fractional)
Ni  0.000  0.135  0.250
Ni  0.000  0.865  0.750
Ge  0.500  0.000  0.500
Mo  0.500  0.500  0.000

=====

3.
The following is a PBE-GGA calculation of a relaxed NiGeMo crystal, from Alexandria.

The value obtained for the energy of formation from the pure elements is 0.05 eV per formula unit. The value obtained for the total energy is -21.2 eV per formula unit. Its calculated density is 9.27 g cm⁻³. The space group is Amm2, No. 38.

abc: 4.988 4.988 7.519
angles: 90.00 90.00 119.49
Element x y z (fractional)
Ni  0.998  0.002  0.757
Ni  0.998  0.002  0.243
Ni  0.833  0.653  0.500
Ni  0.347  0.167  0.500
Ge  0.833  0.167  0.500
Ge  0.168  0.342  0.000
Ge  0.658  0.832  0.000
Ge  0.169  0.831  0.000
Mo  0.332  0.668  0.675
Mo  0.665  0.335  0.814
Mo  0.665  0.335  0.186
Mo  0.332  0.668  0.325

=====

4.
The following is a PBE-GGA calculation of a relaxed Ni3GeMo crystal, from Alexandria.

The value obtained for the energy of formation from the pure elements is 4.40 eV per formula unit. The value obtained for the total energy is -28.4 eV per formula unit. Its calculated density is 7.33 g cm⁻³. The space group is Pm-3m, No. 221.

abc: 4.274 4.274 4.274
angles: 90.00 90.00 90.00
Element x y z (fractional)
Ni  0.000  0.500  0.000
Ni  0.000  0.000  0.500
Ni  0.500  0.000  0.000
Mo  0.500  0.500  0.500
Ge  0.000  0.000  0.000

=====

Q: calculated density of number 2 (Ni2GeMo)?
A: 9.00 g cm⁻³